VASP calculation (PBE-GGA) on K2BaAg2 after structural relaxation.

Output
**Space-group type**: No. 127
**Density**: 3.84 g cm⁻³
**DOS(E_F)**: 11.3 states/eV/cell
**Magnetic moment**: 0.00 μB/f.u.
**Calculated total energy**: -1.869 eV per atom
**DFT formation energy**: 95.4 meV/atom
**Offset from the most stable computed form**: 0.52 eV/f.u.

a = 9.7220 Å, b = 9.7220 Å, c = 3.9499 Å
α = 90.00°, β = 90.00°, γ = 90.00°
Last column: nearest neighbours and their distance in Å.
Atoms (fractional coordinates):
K: 0.1215 0.3785 0.0000  1 K 3.34, 6 Ag 3.35-3.60
K: 0.3785 0.8785 0.0000  1 K 3.34, 6 Ag 3.35-3.60
K: 0.6215 0.1215 0.0000  1 K 3.34, 6 Ag 3.35-3.60
K: 0.8785 0.6215 0.0000  1 K 3.34, 6 Ag 3.35-3.60
Ba: 0.0000 0.0000 0.0000  4 K 3.86, 2 Ba 3.95, 8 Ag 4.07
Ba: 0.5000 0.5000 0.0000  4 K 3.86, 2 Ba 3.95, 8 Ag 4.07
Ag: 0.1818 0.6818 0.5000  6 K 3.35-3.60
Ag: 0.3182 0.1818 0.5000  6 K 3.35-3.60
Ag: 0.6818 0.8182 0.5000  6 K 3.35-3.60
Ag: 0.8182 0.3182 0.5000  6 K 3.35-3.60

=====

VASP calculation (PBE-GGA) on K2BaAg after structural relaxation.

Output
**Space-group type**: No. 119
**Density**: 2.96 g cm⁻³
**DOS(E_F)**: 6.1 states/eV/cell
**Magnetic moment**: 0.00 μB/f.u.
**Calculated total energy**: -1.609 eV per atom
**DFT formation energy**: 133.2 meV/atom
**Offset from the most stable computed form**: 0.63 eV/f.u.

a = 6.3709 Å, b = 6.3709 Å, c = 8.9505 Å
α = 90.00°, β = 90.00°, γ = 90.00°
Last column: nearest neighbours and their distance in Å.
Atoms (fractional coordinates):
K: 0.0000 0.0000 0.0000  4 K 3.89, 4 Ag 3.89
K: 0.0000 0.5000 0.2500  4 Ba 3.89, 4 K 3.89
K: 0.5000 0.0000 0.7500  4 Ba 3.89, 4 K 3.89
K: 0.5000 0.5000 0.5000  4 K 3.89, 4 Ag 3.89
Ba: 0.0000 0.0000 0.5000  4 K 3.89, 4 Ag 3.89
Ba: 0.5000 0.5000 0.0000  4 K 3.89, 4 Ag 3.89
Ag: 0.0000 0.5000 0.7500  4 Ba 3.89, 4 K 3.89
Ag: 0.5000 0.0000 0.2500  4 Ba 3.89, 4 K 3.89

=====

VASP calculation (PBE-GGA) on K2BaAg after structural relaxation.

Output
**Space-group type**: No. 12
**Density**: 2.75 g cm⁻³
**DOS(E_F)**: 4.4 states/eV/cell
**Magnetic moment**: 0.00 μB/f.u.
**Calculated total energy**: -1.600 eV per atom
**DFT formation energy**: 142.7 meV/atom
**Offset from the most stable computed form**: 0.67 eV/f.u.

a = 7.1958 Å, b = 14.5704 Å, c = 5.0646 Å
α = 90.00°, β = 132.71°, γ = 90.00°
Last column: nearest neighbours and their distance in Å.
Atoms (fractional coordinates):
K: 0.2500 0.2500 0.0000  4 K 3.60-3.72
K: 0.2500 0.7500 0.0000  4 K 3.60-3.72
K: 0.7500 0.2500 0.0000  4 K 3.60-3.72
K: 0.7500 0.7500 0.0000  4 K 3.60-3.72
Ba: 0.0000 0.0000 0.5000  4 Ag 3.60-3.72
Ba: 0.5000 0.5000 0.5000  4 Ag 3.60-3.72
Ag: 0.0000 0.5000 0.5000  4 Ba 3.60-3.72
Ag: 0.5000 0.0000 0.5000  4 Ba 3.60-3.72

=====

VASP calculation (PBE-GGA) on KBa8Ag4 after structural relaxation.

Output
**Space-group type**: No. 8
**Density**: 3.70 g cm⁻³
**DOS(E_F)**: 11.0 states/eV/cell
**Magnetic moment**: 0.00 μB/f.u.
**Calculated total energy**: -2.262 eV per atom
**DFT formation energy**: -117.3 meV/atom

a = 12.0612 Å, b = 12.0612 Å, c = 16.0181 Å
α = 129.28°, β = 129.28°, γ = 23.36°
Last column: nearest neighbours and their distance in Å.
Atoms (fractional coordinates):
K: 0.0000 0.0000 0.0000  10 Ba 4.85-4.87, 2 K 4.88
Ba: 0.0412 0.0412 0.7400  3 Ag 3.36-3.37
Ba: 0.2940 0.2940 0.9284  3 Ag 3.36-3.37
Ba: 0.3307 0.3307 0.6592  3 Ag 3.36-3.37
Ba: 0.3715 0.3715 0.4128  3 Ag 3.36-3.37
Ba: 0.6296 0.6296 0.5887  3 Ag 3.37
Ba: 0.6696 0.6696 0.3411  3 Ag 3.36-3.37
Ba: 0.7063 0.7063 0.0727  3 Ag 3.36-3.37
Ba: 0.9592 0.9592 0.2610  3 Ag 3.36-3.37
Ag: 0.1447 0.1447 0.4589  6 Ba 3.36-3.37
Ag: 0.3333 0.3333 0.1708  6 Ba 3.36-3.37
Ag: 0.6670 0.6670 0.8303  6 Ba 3.36-3.37
Ag: 0.8556 0.8556 0.5415  6 Ba 3.36-3.37

=====

VASP calculation (PBE-GGA) on K2BaAg after structural relaxation.

Output
**Space-group type**: No. 8
**Density**: 2.36 g cm⁻³
**DOS(E_F)**: 6.3 states/eV/cell
**Magnetic moment**: 0.00 μB/f.u.
**Calculated total energy**: -1.747 eV per atom
**DFT formation energy**: -5.2 meV/atom
**Offset from the most stable computed form**: 0.07 eV/f.u.

a = 8.2407 Å, b = 4.7014 Å, c = 11.9841 Å
α = 90.00°, β = 101.77°, γ = 90.00°
Last column: nearest neighbours and their distance in Å.
Atoms (fractional coordinates):
K: 0.0000 0.0000 0.0000  9 K 4.67-4.79, 3 Ba 4.68-4.77
K: 0.2172 0.0000 0.6692  3 Ag 3.43
K: 0.5000 0.5000 0.0000  9 K 4.67-4.79, 3 Ba 4.68-4.77
K: 0.7172 0.5000 0.6692  3 Ag 3.43
Ba: 0.2796 0.5000 0.3303  3 Ag 3.33
Ba: 0.7796 0.0000 0.3303  3 Ag 3.33
Ag: 0.4962 0.0000 0.4926  3 Ba 3.33, 3 K 3.43
Ag: 0.9962 0.5000 0.4926  3 Ba 3.33, 3 K 3.43

=====

VASP calculation (PBE-GGA) on KBaAg2 after structural relaxation.

Output
**Space-group type**: No. 225
**Density**: 4.71 g cm⁻³
**DOS(E_F)**: 9.9 states/eV/cell
**Magnetic moment**: 0.00 μB/f.u.
**Calculated total energy**: -2.264 eV per atom
**DFT formation energy**: -83.1 meV/atom
**Offset from the most stable computed form**: 0.15 eV/f.u.

a = 8.2063 Å, b = 8.2063 Å, c = 8.2063 Å
α = 90.00°, β = 90.00°, γ = 90.00°
Last column: nearest neighbours and their distance in Å.
Atoms (fractional coordinates):
K: 0.0000 0.0000 0.0000  8 Ag 3.55
K: 0.0000 0.5000 0.5000  8 Ag 3.55
K: 0.5000 0.0000 0.5000  8 Ag 3.55
K: 0.5000 0.5000 0.0000  8 Ag 3.55
Ba: 0.0000 0.0000 0.5000  8 Ag 3.55
Ba: 0.0000 0.5000 0.0000  8 Ag 3.55
Ba: 0.5000 0.0000 0.0000  8 Ag 3.55
Ba: 0.5000 0.5000 0.5000  8 Ag 3.55
Ag: 0.2500 0.2500 0.2500  4 Ba 3.55, 4 K 3.55
Ag: 0.2500 0.2500 0.7500  4 K 3.55, 4 Ba 3.55
Ag: 0.2500 0.7500 0.2500  4 K 3.55, 4 Ba 3.55
Ag: 0.2500 0.7500 0.7500  4 Ba 3.55, 4 K 3.55
Ag: 0.7500 0.2500 0.2500  4 K 3.55, 4 Ba 3.55
Ag: 0.7500 0.2500 0.7500  4 Ba 3.55, 4 K 3.55
Ag: 0.7500 0.7500 0.2500  4 Ba 3.55, 4 K 3.55
Ag: 0.7500 0.7500 0.7500  4 K 3.55, 4 Ba 3.55